Entry from Alexandria via LeMat-Bulk: ZrSiNi2 after structural relaxation (GGA-PBE).

Cell and atoms, written as extended XYZ:
```
4
Lattice="-2.409 -0.468 3.009 -1.643 -2.149 -1.650 2.896 -3.575 1.763" Properties=species:S:1:pos:R:3 pbc="T T T"
Ni 2.175 -2.685 1.323
Ni -0.921 -3.038 -1.210
Si 0.244 -2.021 2.386
Zr -2.026 -1.309 0.679
```

## Properties
* space group: Pmmm, No. 47


Entry from Alexandria via LeMat-Bulk: Zr3Si5Ni6 after structural relaxation (GGA-PBE).

Cell and atoms, written as extended XYZ:
```
28
Lattice="3.823 0.000 0.000 0.000 8.652 0.000 0.000 0.000 11.656" Properties=species:S:1:pos:R:3 pbc="T T T"
Ni 1.912 0.041 3.974
Si 1.912 4.017 4.471
Ni 1.912 3.582 9.450
Ni 0.000 8.611 9.802
Si 0.000 7.096 0.000
Ni 0.000 4.016 5.828
Zr 0.000 2.178 0.000
Si 1.912 1.257 1.905
Si 1.912 1.257 9.751
Zr 1.912 6.474 5.828
Ni 0.000 5.069 3.622
Zr 1.912 6.570 9.581
Ni 0.000 5.069 8.033
Ni 1.912 8.555 0.000
Ni 1.912 3.582 2.206
Zr 1.912 6.570 2.075
Si 0.000 4.635 10.299
Ni 1.912 4.635 0.000
Si 0.000 7.395 3.923
Si 1.912 4.017 7.184
Si 0.000 7.395 7.733
Ni 0.000 0.096 5.828
Zr 0.000 2.082 7.903
Si 1.912 1.555 5.828
Ni 0.000 8.611 1.854
Ni 1.912 0.041 7.681
Si 0.000 4.635 1.356
Zr 0.000 2.082 3.753
```

## Properties
* space group: Pmmn, No. 59


Entry from Alexandria via LeMat-Bulk: ZrSi2Ni2 after structural relaxation (GGA-PBE).

Cell and atoms, written as extended XYZ:
```
5
Lattice="-3.239 0.553 -2.167 -2.236 -0.827 3.131 -2.755 4.244 1.626" Properties=species:S:1:pos:R:3 pbc="T T T"
Si -3.864 1.640 2.620
Ni -2.742 0.981 0.774
Zr 0.000 0.000 0.000
Si -4.366 2.330 -0.029
Ni -5.488 2.989 1.817
```

## Properties
* space group: I4/mmm, No. 139


Calculated M_tot in order - 0.00, 0.00, 0.00 μB per cell
Calculated ΔE_f (raw) in order - -434, -802, -627 meV/atom
Calculated final energy in order - -27.270, -98.679, -34.093 eV per formula unit